(1)
# KSmHfSe4 (PBE, optimized geometry)
# **Total magnetic moment**: 0.000 μB per atom
data_KSmHfSe4
_chemical_formula_sum 'K2 Sm2 Hf2 Se8'
_symmetry_space_group_name_H-M 'P 1 21 1'
_symmetry_Int_Tables_number 4
_cell_length_a 7.221
_cell_length_b 7.130
_cell_length_c 9.148
_cell_angle_alpha 90.00
_cell_angle_beta 109.24
_cell_angle_gamma 90.00
loop_
_symmetry_equiv_pos_as_xyz
'x,y,z'
'-x,y+1/2,-z'
loop_
_atom_site_label
_atom_site_type_symbol
_atom_site_fract_x
_atom_site_fract_y
_atom_site_fract_z
K1 K 0.244 0.000 0.442
Sm1 Sm 0.299 0.999 0.950
Hf1 Hf 0.231 0.494 0.162
Se1 Se 0.006 0.334 0.914
Se2 Se 0.056 0.442 0.349
Se3 Se 0.493 0.249 0.793
Se4 Se 0.497 0.746 0.783

(2)
# ZrBePO (PBE, optimized geometry)
# **Total magnetic moment**: 0.001 μB per atom
# **Polymorph energy (0 for the lowest one)**: 0.000 eV/atom
data_ZrBePO
_chemical_formula_sum 'Zr2 Be2 P2 O2'
_symmetry_space_group_name_H-M 'P m c 21'
_symmetry_Int_Tables_number 26
_cell_length_a 3.922
_cell_length_b 5.786
_cell_length_c 5.132
_cell_angle_alpha 90.00
_cell_angle_beta 90.00
_cell_angle_gamma 90.00
loop_
_symmetry_equiv_pos_as_xyz
'x,y,z'
'-x,-y,z+1/2'
'-x,y,z'
'x,-y,z+1/2'
loop_
_atom_site_label
_atom_site_type_symbol
_atom_site_fract_x
_atom_site_fract_y
_atom_site_fract_z
Zr1 Zr 0.000 0.200 0.000
Be1 Be 0.500 0.399 0.650
P1 P 0.000 0.245 0.500
O1 O 0.500 0.363 0.971

(3)
# PmMgAu (PBE, optimized geometry)
# **Total magnetic moment**: 0.000 μB per atom
# **Polymorph energy (0 for the lowest one)**: 0.000 eV/atom
data_PmMgAu
_chemical_formula_sum 'Pm3 Mg3 Au3'
_symmetry_space_group_name_H-M 'P -6 2 m'
_symmetry_Int_Tables_number 189
_symmetry_space_group_name_Hall 'P -6 -2'
_cell_length_a 7.7451
_cell_length_b 7.7451
_cell_length_c 4.1434
_cell_angle_alpha 90.00
_cell_angle_beta 90.00
_cell_angle_gamma 120.00
loop_
_atom_site_label
_atom_site_type_symbol
_atom_site_fract_x
_atom_site_fract_y
_atom_site_fract_z
Pm1 Pm 0.0000 0.5869 0.0000
Mg1 Mg 0.0000 0.2436 0.5000
Au1 Au 0.0000 0.0000 0.0000
Au2 Au 0.3333 0.6667 0.5000

(4)
# AlCdW (PBE, optimized geometry)
# **Total magnetic moment**: 0.434 μB per atom
# **Polymorph energy (0 for the lowest one)**: 0.000 eV/atom
data_AlCdW
_chemical_formula_sum 'Al4 Cd4 W4'
_symmetry_space_group_name_H-M 'F -4 3 m'
_symmetry_Int_Tables_number 216
_symmetry_space_group_name_Hall 'F -4 2 3'
_cell_length_a 6.165
_cell_length_b 6.165
_cell_length_c 6.165
_cell_angle_alpha 90.00
_cell_angle_beta 90.00
_cell_angle_gamma 90.00
loop_
_atom_site_label
_atom_site_type_symbol
_atom_site_fract_x
_atom_site_fract_y
_atom_site_fract_z
Al1 Al 0.000 0.000 0.000
Cd1 Cd 0.250 0.250 0.750
W1 W 0.250 0.250 0.250

(5)
# ZrU (PBE, optimized geometry)
# **Total magnetic moment**: 0.914 μB per atom
# **Polymorph energy (0 for the lowest one)**: 0.147 eV/atom
# **Energy of formation from the pure elements**: 0.5 eV per formula unit
data_ZrU
_chemical_formula_sum 'Zr1 U1'
_symmetry_space_group_name_H-M 'P -6 m 2'
_symmetry_Int_Tables_number 187
_symmetry_space_group_name_Hall 'P -6 2'
_cell_length_a 3.0892
_cell_length_b 3.0892
_cell_length_c 5.4732
_cell_angle_alpha 90.00
_cell_angle_beta 90.00
_cell_angle_gamma 120.00
loop_
_atom_site_label
_atom_site_type_symbol
_atom_site_fract_x
_atom_site_fract_y
_atom_site_fract_z
Zr1 Zr 0.0000 0.0000 0.0000
U1 U 0.3333 0.6667 0.5000

(6)
# ZrZn (PBE, optimized geometry)
# **Total magnetic moment**: 0.006 μB per atom
# **Energy of formation from the pure elements**: -0.1 eV per formula unit
data_ZrZn
_chemical_formula_sum 'Zr1 Zn1'
_symmetry_space_group_name_H-M 'P -6 m 2'
_symmetry_Int_Tables_number 187
_symmetry_space_group_name_Hall 'P -6 2'
_cell_length_a 2.9841
_cell_length_b 2.9841
_cell_length_c 4.9787
_cell_angle_alpha 90.00
_cell_angle_beta 90.00
_cell_angle_gamma 120.00
loop_
_atom_site_label
_atom_site_type_symbol
_atom_site_fract_x
_atom_site_fract_y
_atom_site_fract_z
Zr1 Zr 0.0000 0.0000 0.0000
Zn1 Zn 0.3333 0.6667 0.5000

(7)
# LaZnIn (PBE, optimized geometry)
# **Total magnetic moment**: 0.001 μB per atom
data_LaZnIn
_chemical_formula_sum 'La2 Zn2 In2'
_symmetry_space_group_name_H-M 'P 63 m c'
_symmetry_Int_Tables_number 186
_symmetry_space_group_name_Hall 'P 6c -2c'
_cell_length_a 4.8030
_cell_length_b 4.8030
_cell_length_c 7.7711
_cell_angle_alpha 90.00
_cell_angle_beta 90.00
_cell_angle_gamma 120.00
loop_
_atom_site_label
_atom_site_type_symbol
_atom_site_fract_x
_atom_site_fract_y
_atom_site_fract_z
La1 La 0.0000 0.0000 0.0000
Zn1 Zn 0.3333 0.6667 0.2980
In1 In 0.3333 0.6667 0.7238

(8)
# LaErAs2Pt2 (PBE, optimized geometry)
# **Total magnetic moment**: 0.001 μB per atom
# **Polymorph energy (0 for the lowest one)**: 0.037 eV/atom
data_LaErAs2Pt2
_chemical_formula_sum 'La2 Er2 As4 Pt4'
_symmetry_space_group_name_H-M 'P 63/m m c'
_symmetry_Int_Tables_number 194
_symmetry_space_group_name_Hall '-P 6c 2c'
_cell_length_a 4.3346
_cell_length_b 4.3346
_cell_length_c 15.6685
_cell_angle_alpha 90.00
_cell_angle_beta 90.00
_cell_angle_gamma 120.00
loop_
_atom_site_label
_atom_site_type_symbol
_atom_site_fract_x
_atom_site_fract_y
_atom_site_fract_z
La1 La 0.0000 0.0000 0.2500
Er1 Er 0.0000 0.0000 0.0000
As1 As 0.3333 0.6667 0.1213
Pt1 Pt 0.3333 0.6667 0.6131

(9)
# Nd3Te2 (PBE, optimized geometry)
# **Total magnetic moment**: 0.000 μB per atom
data_Nd3Te2
_chemical_formula_sum 'Nd12 Te8'
_symmetry_space_group_name_H-M 'P n m a'
_symmetry_Int_Tables_number 62
_cell_length_a 12.289
_cell_length_b 4.277
_cell_length_c 12.096
_cell_angle_alpha 90.00
_cell_angle_beta 90.00
_cell_angle_gamma 90.00
loop_
_symmetry_equiv_pos_as_xyz
'x,y,z'
'-x,-y,-z'
'-x+1/2,-y,z+1/2'
'x+1/2,y,-z+1/2'
'x+1/2,-y+1/2,-z+1/2'
'-x+1/2,y+1/2,z+1/2'
'-x,y+1/2,-z'
'x,-y+1/2,z'
loop_
_atom_site_label
_atom_site_type_symbol
_atom_site_fract_x
_atom_site_fract_y
_atom_site_fract_z
Nd1 Nd 0.046 0.250 0.124
Nd2 Nd 0.120 0.750 0.564
Nd3 Nd 0.214 0.250 0.793
Te1 Te 0.028 0.750 0.317
Te2 Te 0.193 0.750 0.995

(10)
# NdErGa5 (PBE, optimized geometry)
# **Total magnetic moment**: 0.000 μB per atom
data_NdErGa5
_chemical_formula_sum 'Nd1 Er1 Ga5'
_symmetry_space_group_name_H-M 'P 4/m m m'
_symmetry_Int_Tables_number 123
_symmetry_space_group_name_Hall '-P 4 2'
_cell_length_a 4.338
_cell_length_b 4.338
_cell_length_c 8.181
_cell_angle_alpha 90.00
_cell_angle_beta 90.00
_cell_angle_gamma 90.00
loop_
_atom_site_label
_atom_site_type_symbol
_atom_site_fract_x
_atom_site_fract_y
_atom_site_fract_z
Nd1 Nd 0.000 0.000 0.000
Er1 Er 0.000 0.000 0.500
Ga1 Ga 0.000 0.500 0.265
Ga2 Ga 0.500 0.500 0.000

(11)
# SrLaGe4Pt2 (PBE, optimized geometry)
# **Total magnetic moment**: 0.001 μB per atom
data_SrLaGe4Pt2
_chemical_formula_sum 'Sr2 La2 Ge8 Pt4'
_symmetry_space_group_name_H-M 'A m m 2'
_symmetry_Int_Tables_number 38
_cell_length_a 4.465
_cell_length_b 4.450
_cell_length_c 17.486
_cell_angle_alpha 90.00
_cell_angle_beta 90.00
_cell_angle_gamma 90.00
loop_
_symmetry_equiv_pos_as_xyz
'x,y,z'
'-x,-y,z'
'-x,y,z'
'x,-y,z'
'x,y+1/2,z+1/2'
'-x,-y+1/2,z+1/2'
'-x,y+1/2,z+1/2'
'x,-y+1/2,z+1/2'
loop_
_atom_site_label
_atom_site_type_symbol
_atom_site_fract_x
_atom_site_fract_y
_atom_site_fract_z
Sr1 Sr 0.000 0.000 0.000
La1 La 0.500 0.000 0.784
Ge1 Ge 0.000 0.000 0.356
Ge2 Ge 0.000 0.000 0.642
Ge3 Ge 0.500 0.000 0.143
Ge4 Ge 0.500 0.000 0.428
Pt1 Pt 0.000 0.000 0.215
Pt2 Pt 0.500 0.000 0.571

(12)
# CsMoIr (PBE, optimized geometry)
# **Total magnetic moment**: 0.465 μB per atom
data_CsMoIr
_chemical_formula_sum 'Cs4 Mo4 Ir4'
_symmetry_space_group_name_H-M 'F -4 3 m'
_symmetry_Int_Tables_number 216
_symmetry_space_group_name_Hall 'F -4 2 3'
_cell_length_a 6.682
_cell_length_b 6.682
_cell_length_c 6.682
_cell_angle_alpha 90.00
_cell_angle_beta 90.00
_cell_angle_gamma 90.00
loop_
_atom_site_label
_atom_site_type_symbol
_atom_site_fract_x
_atom_site_fract_y
_atom_site_fract_z
Cs1 Cs 0.000 0.000 0.000
Mo1 Mo 0.000 0.000 0.500
Ir1 Ir 0.250 0.250 0.250

(13)
# Ho2ScNiSn3Ir2 (PBE, optimized geometry)
# **Total magnetic moment**: 0.000 μB per atom
data_Ho2ScNiSn3Ir2
_chemical_formula_sum 'Ho4 Sc2 Ni2 Sn6 Ir4'
_symmetry_space_group_name_H-M 'A m m 2'
_symmetry_Int_Tables_number 38
_cell_length_a 3.654
_cell_length_b 13.022
_cell_length_c 7.549
_cell_angle_alpha 90.00
_cell_angle_beta 90.00
_cell_angle_gamma 90.00
loop_
_symmetry_equiv_pos_as_xyz
'x,y,z'
'-x,-y,z'
'-x,y,z'
'x,-y,z'
'x,y+1/2,z+1/2'
'-x,-y+1/2,z+1/2'
'-x,y+1/2,z+1/2'
'x,-y+1/2,z+1/2'
loop_
_atom_site_label
_atom_site_type_symbol
_atom_site_fract_x
_atom_site_fract_y
_atom_site_fract_z
Ho1 Ho 0.000 0.203 0.000
Sc1 Sc 0.000 0.000 0.392
Ni1 Ni 0.000 0.000 0.795
Sn1 Sn 0.500 0.000 0.059
Sn2 Sn 0.500 0.127 0.666
Ir1 Ir 0.500 0.162 0.300

(14)
# TaTlCoAu (PBE, optimized geometry)
# **Total magnetic moment**: 0.067 μB per atom
# **Polymorph energy (0 for the lowest one)**: 0.116 eV/atom
data_TaTlCoAu
_chemical_formula_sum 'Ta4 Tl4 Co4 Au4'
_symmetry_space_group_name_H-M 'F -4 3 m'
_symmetry_Int_Tables_number 216
_symmetry_space_group_name_Hall 'F -4 2 3'
_cell_length_a 6.503
_cell_length_b 6.503
_cell_length_c 6.503
_cell_angle_alpha 90.00
_cell_angle_beta 90.00
_cell_angle_gamma 90.00
loop_
_atom_site_label
_atom_site_type_symbol
_atom_site_fract_x
_atom_site_fract_y
_atom_site_fract_z
Ta1 Ta 0.000 0.000 0.000
Tl1 Tl 0.250 0.250 0.750
Co1 Co 0.250 0.250 0.250
Au1 Au 0.000 0.000 0.500

(15)
# NbFeSb (PBE, optimized geometry)
# **Total magnetic moment**: 0.183 μB per atom
data_NbFeSb
_chemical_formula_sum 'Nb3 Fe3 Sb3'
_symmetry_space_group_name_H-M 'P -6 2 m'
_symmetry_Int_Tables_number 189
_symmetry_space_group_name_Hall 'P -6 -2'
_cell_length_a 6.7743
_cell_length_b 6.7743
_cell_length_c 3.7626
_cell_angle_alpha 90.00
_cell_angle_beta 90.00
_cell_angle_gamma 120.00
loop_
_atom_site_label
_atom_site_type_symbol
_atom_site_fract_x
_atom_site_fract_y
_atom_site_fract_z
Nb1 Nb 0.0000 0.6055 0.0000
Fe1 Fe 0.0000 0.0000 0.0000
Fe2 Fe 0.3333 0.6667 0.5000
Sb1 Sb 0.0000 0.2744 0.5000

(16)
# CdGaPt2 (PBE, optimized geometry)
# **Total magnetic moment**: 0.000 μB per atom
data_CdGaPt2
_chemical_formula_sum 'Cd4 Ga4 Pt8'
_symmetry_space_group_name_H-M 'F -4 3 m'
_symmetry_Int_Tables_number 216
_symmetry_space_group_name_Hall 'F -4 2 3'
_cell_length_a 6.439
_cell_length_b 6.439
_cell_length_c 6.439
_cell_angle_alpha 90.00
_cell_angle_beta 90.00
_cell_angle_gamma 90.00
loop_
_atom_site_label
_atom_site_type_symbol
_atom_site_fract_x
_atom_site_fract_y
_atom_site_fract_z
Cd1 Cd 0.000 0.000 0.000
Ga1 Ga 0.250 0.250 0.750
Pt1 Pt 0.000 0.000 0.500
Pt2 Pt 0.250 0.250 0.250

(17)
# Dy3InS6 (PBE, optimized geometry)
# **Total magnetic moment**: 0.000 μB per atom
# **Polymorph energy (0 for the lowest one)**: 0.006 eV/atom
data_Dy3InS6
_chemical_formula_sum 'Dy12 In4 S24'
_symmetry_space_group_name_H-M 'P 21 21 2'
_symmetry_Int_Tables_number 18
_cell_length_a 13.454
_cell_length_b 16.543
_cell_length_c 3.859
_cell_angle_alpha 90.00
_cell_angle_beta 90.00
_cell_angle_gamma 90.00
loop_
_symmetry_equiv_pos_as_xyz
'x,y,z'
'-x,-y,z'
'x+1/2,-y+1/2,-z'
'-x+1/2,y+1/2,-z'
loop_
_atom_site_label
_atom_site_type_symbol
_atom_site_fract_x
_atom_site_fract_y
_atom_site_fract_z
Dy1 Dy 0.035 0.225 0.249
Dy2 Dy 0.192 0.644 0.248
Dy3 Dy 0.248 0.390 0.238
In1 In 0.000 0.000 0.861
In2 In 0.000 0.500 0.746
S1 S 0.020 0.395 0.246
S2 S 0.102 0.908 0.267
S3 S 0.107 0.117 0.751
S4 S 0.116 0.744 0.750
S5 S 0.178 0.284 0.742
S6 S 0.194 0.519 0.746

(18)
# LaPuSb (PBE, optimized geometry)
# **Total magnetic moment**: 2.522 μB per atom
data_LaPuSb
_chemical_formula_sum 'La4 Pu4 Sb4'
_symmetry_space_group_name_H-M 'F -4 3 m'
_symmetry_Int_Tables_number 216
_symmetry_space_group_name_Hall 'F -4 2 3'
_cell_length_a 7.445
_cell_length_b 7.445
_cell_length_c 7.445
_cell_angle_alpha 90.00
_cell_angle_beta 90.00
_cell_angle_gamma 90.00
loop_
_atom_site_label
_atom_site_type_symbol
_atom_site_fract_x
_atom_site_fract_y
_atom_site_fract_z
La1 La 0.000 0.000 0.000
Pu1 Pu 0.250 0.250 0.750
Sb1 Sb 0.250 0.250 0.250

(19)
# HoScTa2Ge2 (PBE, optimized geometry)
# **Total magnetic moment**: 0.160 μB per atom
data_HoScTa2Ge2
_chemical_formula_sum 'Ho1 Sc1 Ta2 Ge2'
_symmetry_space_group_name_H-M 'P 4 m m'
_symmetry_Int_Tables_number 99
_cell_length_a 3.980
_cell_length_b 3.980
_cell_length_c 7.645
_cell_angle_alpha 90.00
_cell_angle_beta 90.00
_cell_angle_gamma 90.00
loop_
_symmetry_equiv_pos_as_xyz
'x,y,z'
'-y,x,z'
'-x,-y,z'
'y,-x,z'
'-x,y,z'
'y,x,z'
'x,-y,z'
'-y,-x,z'
loop_
_atom_site_label
_atom_site_type_symbol
_atom_site_fract_x
_atom_site_fract_y
_atom_site_fract_z
Ho1 Ho 0.000 0.000 0.000
Sc1 Sc 0.500 0.500 0.703
Ta1 Ta 0.000 0.500 0.359
Ge1 Ge 0.000 0.000 0.612
Ge2 Ge 0.500 0.500 0.105

(20)
LiCuSiSe2S: optimized geometry, PBE.

The structure in CIF format:
```
data_LiCuSiSe2S
_chemical_formula_sum 'Li4 Cu4 Si4 Se8 S4'
_symmetry_space_group_name_H-M 'C m c m'
_symmetry_Int_Tables_number 63
_symmetry_space_group_name_Hall '-C 2c 2'
_cell_length_a 3.555
_cell_length_b 12.575
_cell_length_c 9.874
_cell_angle_alpha 90.00
_cell_angle_beta 90.00
_cell_angle_gamma 90.00
loop_
_atom_site_label
_atom_site_type_symbol
_atom_site_fract_x
_atom_site_fract_y
_atom_site_fract_z
Li1 Li 0.000 0.183 0.250
Cu1 Cu 0.000 0.085 0.750
Si1 Si 0.000 0.500 0.000
Se1 Se 0.000 0.138 0.522
S1 S 0.000 0.458 0.750
```

Energy / eV per atom: -5.749; -7.218; -3.854; -4.898; -9.660; -4.938; -3.470; -6.410; -5.266; -3.880; -5.482; -4.851; -6.421; -5.614; -7.502; -4.198; -5.817; -7.777; -7.894; -4.086